The following is a GGA-PBE calculation of a geometry-optimized CaFe3Ir structure, from Alexandria via LeMat-Bulk.

For the density of states at the Fermi level, the calculation gives 4.296 states/eV per cell. The volume is 105.8 Å³ per cell. The symmetry is Pm-3m (221). As for the energy relative to the lowest polymorph listed for this composition: 0.000 eV per formula unit. The value obtained for the formation energy from the elements is 0.7016 eV/atom.

POSCAR file:
```
CaFe3Ir
1.0
-0.349 2.984 3.653
-0.868 -3.641 2.892
4.636 -0.457 0.816
Fe Ca Ir
3 1 1
Cartesian
-0.174 1.492 1.826
-0.434 -1.820 1.446
2.318 -0.228 0.408
1.710 -0.556 3.680
0.000 0.000 0.000
```